Below is crystalline Sc2Ga8Ir at its relaxed geometry, with properties calculated at the PBE level.

a = 4.2301 Å, b = 4.2301 Å, c = 10.7888 Å
α = 90.00°, β = 90.00°, γ = 90.00°
Space group P4/mmm (No. 123)
Symmetry-distinct sites (fractional):
Sc (0.0000, 0.0000, 0.1886) (multiplicity 2)
Ga (0.0000, 0.5000, 0.0000) (multiplicity 2)
Ga (0.0000, 0.5000, 0.3707) (multiplicity 4)
Ga (0.5000, 0.5000, 0.1899) (multiplicity 2)
Ir (0.0000, 0.0000, 0.5000) (multiplicity 1)

The energy relative to the elements comes out at -0.4967 eV/atom. For the density of states at the Fermi level, the calculation gives 0.498 states/eV per atom.



Below is crystalline Sc4Ga3Ir at its relaxed geometry, with properties calculated at the PBE level.

a = 3.4797 Å, b = 4.2563 Å, c = 10.4420 Å
α = 90.00°, β = 90.00°, γ = 90.00°
Space group Pmm2 (No. 25)
Symmetry-distinct sites (fractional):
Sc (0.0000, 0.0000, 0.0000) (multiplicity 1)
Sc (0.0000, 0.5000, 0.2746) (multiplicity 1)
Sc (0.5000, 0.0000, 0.4669) (multiplicity 1)
Sc (0.5000, 0.5000, 0.7875) (multiplicity 1)
Ga (0.0000, 0.0000, 0.7098) (multiplicity 1)
Ga (0.0000, 0.5000, 0.5567) (multiplicity 1)
Ga (0.5000, 0.5000, 0.0530) (multiplicity 1)
Ir (0.5000, 0.0000, 0.2110) (multiplicity 1)

The energy relative to the elements comes out at -0.6921 eV/atom. For the density of states at the Fermi level, the calculation gives 0.740 states/eV per atom. The value obtained for the energy above the most stable polymorph in this dataset is 0.17 eV per formula unit.



Below is crystalline Sc2Ga3Ir4 at its relaxed geometry, with properties calculated at the PBE level.

a = 8.5270 Å, b = 4.1474 Å, c = 8.2018 Å
α = 90.00°, β = 104.57°, γ = 90.00°
Space group C2/m (No. 12)
Symmetry-distinct sites (fractional):
Sc (0.1772, 0.0000, 0.2220) (multiplicity 4)
Ga (0.0000, 0.5000, 0.0000) (multiplicity 2)
Ga (0.1525, 0.0000, 0.5662) (multiplicity 4)
Ir (0.0260, 0.5000, 0.3430) (multiplicity 4)
Ir (0.1590, 0.0000, 0.8875) (multiplicity 4)

The energy relative to the elements comes out at -0.6467 eV/atom. For the density of states at the Fermi level, the calculation gives 0.538 states/eV per atom.



Below is crystalline Sc3Ga4Ir at its relaxed geometry, with properties calculated at the PBE level.

a = 3.1335 Å, b = 5.5836 Å, c = 17.1827 Å
α = 90.00°, β = 90.00°, γ = 90.00°
Space group Immm (No. 71)
Symmetry-distinct sites (fractional):
Sc (0.0000, 0.0000, 0.0000) (multiplicity 2)
Sc (0.0000, 0.5000, 0.2353) (multiplicity 4)
Ga (0.0000, 0.2573, 0.3790) (multiplicity 8)
Ir (0.0000, 0.0000, 0.5000) (multiplicity 2)

The energy relative to the elements comes out at -0.4096 eV/atom. For the density of states at the Fermi level, the calculation gives 0.788 states/eV per atom.



Below is crystalline ScGaIr2 at its relaxed geometry, with properties calculated at the PBE level.

a = 7.0096 Å, b = 7.0096 Å, c = 5.6584 Å
α = 90.00°, β = 90.00°, γ = 90.00°
Space group I-42d (No. 122)
Symmetry-distinct sites (fractional):
Sc (0.0000, 0.0000, 0.0000) (multiplicity 4)
Ga (0.0000, 0.0000, 0.5000) (multiplicity 4)
Ir (0.2157, 0.7500, 0.6250) (multiplicity 8)

The energy relative to the elements comes out at -0.2035 eV/atom. For the density of states at the Fermi level, the calculation gives 0.008 states/eV per atom.



Below is crystalline ScGaIr3 at its relaxed geometry, with properties calculated at the PBE level.

a = 4.5349 Å, b = 4.5349 Å, c = 4.5349 Å
α = 90.00°, β = 90.00°, γ = 90.00°
Space group Pm-3m (No. 221)
Symmetry-distinct sites (fractional):
Sc (0.0000, 0.0000, 0.0000) (multiplicity 1)
Ga (0.5000, 0.5000, 0.5000) (multiplicity 1)
Ir (0.0000, 0.5000, 0.5000) (multiplicity 3)

The energy relative to the elements comes out at 0.4141 eV/atom. For the density of states at the Fermi level, the calculation gives 0.893 states/eV per atom. The value obtained for the energy above the most stable polymorph in this dataset is 0.00 eV per formula unit.



Below is crystalline Sc3Ga3Ir at its relaxed geometry, with properties calculated at the PBE level.

a = 10.2602 Å, b = 3.9053 Å, c = 13.9955 Å
α = 90.00°, β = 107.51°, γ = 90.00°
Space group C2/m (No. 12)
Symmetry-distinct sites (fractional):
Sc (0.0236, 0.0000, 0.3777) (multiplicity 4)
Sc (0.1115, 0.0000, 0.9249) (multiplicity 4)
Sc (0.2334, 0.0000, 0.2360) (multiplicity 4)
Ga (0.0125, 0.5000, 0.2240) (multiplicity 4)
Ga (0.1109, 0.5000, 0.0745) (multiplicity 4)
Ga (0.1367, 0.5000, 0.5328) (multiplicity 4)
Ir (0.2324, 0.5000, 0.3758) (multiplicity 4)

The energy relative to the elements comes out at -0.7017 eV/atom. For the density of states at the Fermi level, the calculation gives 0.597 states/eV per atom.



Below is crystalline ScGa2Ir at its relaxed geometry, with properties calculated at the PBE level.

a = 3.8502 Å, b = 3.8502 Å, c = 19.3955 Å
α = 90.00°, β = 90.00°, γ = 90.00°
Space group I-42d (No. 122)
Symmetry-distinct sites (fractional):
Sc (0.0000, 0.0000, 0.0000) (multiplicity 4)
Ga (0.2380, 0.2500, 0.6250) (multiplicity 8)
Ir (0.0000, 0.0000, 0.5000) (multiplicity 4)

The energy relative to the elements comes out at -0.3292 eV/atom. For the density of states at the Fermi level, the calculation gives 0.505 states/eV per atom.